Entry 1:
BeCr2Ru | PBE | optimized geometry

abc: 2.5532 2.5532 7.7122
angles: 90.00 90.00 111.49
Last column: nearest neighbours and their distance in Å.
Fractional positions:
Be 0.0000 0.0000 0.0000  2 Cr 2.35, 2 Ru 2.36, 4 Be 2.55
Cr 0.0000 0.0000 0.4836  6 Cr 2.36-2.55, 2 Ru 2.55
Cr 0.5000 0.5000 0.2407  2 Be 2.35, 6 Cr 2.36-2.55
Ru 0.5000 0.5000 0.7575  2 Be 2.36, 4 Ru 2.55, 2 Cr 2.55

Properties
SG	Cmm2 (35)
DFT total energy	-31.68	eV for the cell shown
E_form	0.1419	eV per atom

Entry 2:
BeCr2Ru | PBE | optimized geometry

abc: 4.5203 4.5203 2.5789
angles: 90.00 90.00 117.35
Last column: nearest neighbours and their distance in Å.
Fractional positions:
Be 0.0000 0.0000 0.0000  2 Ru 2.35, 2 Be 2.58, 8 Cr 2.60
Cr 0.0000 0.5000 0.5000  4 Cr 2.35-2.58, 4 Be 2.60, 4 Ru 2.60
Cr 0.5000 0.0000 0.5000  4 Cr 2.35-2.58, 4 Be 2.60, 4 Ru 2.60
Ru 0.5000 0.5000 0.0000  2 Be 2.35, 2 Ru 2.58, 8 Cr 2.60

Properties
SG	Cmmm (65)
DFT total energy	-31.75	eV for the cell shown
E_form	0.1237	eV per atom

Entry 3:
BeCr2Ru | PBE | optimized geometry

abc: 2.9038 2.9038 5.4757
angles: 90.00 90.00 90.00
Last column: nearest neighbours and their distance in Å.
Fractional positions:
Be 0.0000 0.0000 0.0000  4 Ru 2.40, 5 Cr 2.45-2.64
Cr 0.0000 0.0000 0.4827  4 Cr 2.44, 4 Ru 2.59, 1 Be 2.64
Cr 0.5000 0.5000 0.2435  4 Cr 2.44, 4 Be 2.45, 1 Ru 2.58
Ru 0.5000 0.5000 0.7721  4 Be 2.40, 5 Cr 2.58-2.59

Properties
SG	P4mm (99)
DFT total energy	-32.44	eV for the cell shown
E_form	-0.0489	eV per atom